[1]
TlCd2In: optimized geometry, PBE.

Unit cell a=10.9203 b=10.9203 c=10.9203 alpha=17.60 beta=17.60 gamma=17.60
Closest atoms and distances in Å follow each position.
Sites, in units of the cell vectors:
In 0.2500 0.2500 0.2500  6 Cd 3.26, 6 In 3.34
Cd 0.9981 0.9981 0.9981  3 In 3.26, 6 Cd 3.34, 3 Tl 3.36
Cd 0.5019 0.5019 0.5019  3 In 3.26, 6 Cd 3.34, 3 Tl 3.36
Tl 0.7500 0.7500 0.7500  6 Tl 3.34, 6 Cd 3.36

DOS at the Fermi energy ... 1.23 states/eV per cell
SG ... R-3m
Total energy ... -1.711 eV/atom

***

[2]
TlCdIn3: optimized geometry, PBE.

Unit cell a=5.5633 b=5.5633 c=5.5633 alpha=90.00 beta=90.00 gamma=90.00
Closest atoms and distances in Å follow each position.
Sites, in units of the cell vectors:
In 0.0000 0.0000 0.5000  2 Cd 2.78
In 0.0000 0.5000 0.0000  2 Cd 2.78
In 0.5000 0.0000 0.0000  2 Cd 2.78
Tl 0.5000 0.5000 0.5000  12 In 3.93
Cd 0.0000 0.0000 0.0000  6 In 2.78

DOS at the Fermi energy ... 4.48 states/eV per cell
SG ... Pm-3m
Total energy ... -1.989 eV/atom

***

[3]
Tl3Cd2In: optimized geometry, PBE.

Unit cell a=3.3761 b=9.8200 c=11.2638 alpha=65.53 beta=81.38 gamma=80.10
Closest atoms and distances in Å follow each position.
Sites, in units of the cell vectors:
Cd 0.7214 0.6422 0.9149  6 Cd 3.13-3.38, 4 Tl 3.40-3.44, 1 In 3.40
Cd 0.0688 0.8080 0.0544  5 Cd 3.13-3.42, 4 In 3.15-3.21, 2 Tl 3.28
Cd 0.2786 0.3578 0.0851  6 Cd 3.13-3.38, 4 Tl 3.40-3.44, 1 In 3.40
Cd 0.9312 0.1920 0.9456  5 Cd 3.13-3.42, 4 In 3.15-3.21, 2 Tl 3.28
Tl 0.3900 0.4794 0.7405  5 Cd 3.28-3.54, 7 Tl 3.38-3.63
Tl 0.6100 0.5206 0.2595  5 Cd 3.28-3.54, 7 Tl 3.38-3.63
Tl 0.0694 0.2971 0.5641  2 In 3.37, 9 Tl 3.38-3.63
Tl 0.2512 0.8625 0.6352  2 In 3.35, 7 Tl 3.38-3.59, 2 Cd 3.44
Tl 0.7488 0.1375 0.3648  2 In 3.35, 7 Tl 3.38-3.59, 2 Cd 3.44
Tl 0.9306 0.7029 0.4359  2 In 3.37, 9 Tl 3.38-3.63
In 0.4148 0.9755 0.1950  5 Cd 3.15-3.40, 4 Tl 3.35-3.37, 2 In 3.38
In 0.5852 0.0245 0.8050  5 Cd 3.15-3.40, 4 Tl 3.35-3.37, 2 In 3.38

DOS at the Fermi energy ... 4.46 states/eV per cell
SG ... C2/m
Total energy ... -1.919 eV/atom

***

[4]
TlCdIn2: optimized geometry, PBE.

Unit cell a=3.3572 b=3.3572 c=9.5920 alpha=90.00 beta=90.00 gamma=90.09
Closest atoms and distances in Å follow each position.
Sites, in units of the cell vectors:
In 0.0000 0.0000 0.9793  4 Cd 3.23-3.24, 4 In 3.36, 4 Tl 3.52
In 0.0000 0.0000 0.5207  4 Cd 3.23-3.24, 4 In 3.36, 4 Tl 3.52
Tl 0.5000 0.5000 0.2500  4 Tl 3.36, 8 In 3.52
Cd 0.5000 0.5000 0.7500  8 In 3.23-3.24, 4 Cd 3.36

DOS at the Fermi energy ... 1.65 states/eV per cell
SG ... Cmmm
Total energy ... -2.170 eV/atom

***

[5]
TlCdIn4: optimized geometry, PBE.

Unit cell a=4.4799 b=8.2032 c=9.1869 alpha=90.00 beta=90.00 gamma=90.00
Closest atoms and distances in Å follow each position.
Sites, in units of the cell vectors:
In 0.5000 0.9537 0.7500  8 In 3.23-3.58, 2 Cd 3.33, 2 Tl 3.41
In 0.5000 0.0463 0.2500  8 In 3.23-3.58, 2 Cd 3.33, 2 Tl 3.41
In 0.5000 0.3117 0.9724  2 Cd 3.07, 4 In 3.13-3.41, 2 Tl 3.42
In 0.5000 0.6883 0.0276  2 Cd 3.07, 4 In 3.13-3.41, 2 Tl 3.42
In 0.0000 0.0000 0.5000  2 Cd 3.10, 8 In 3.23-3.41
In 0.5000 0.6883 0.4724  2 Cd 3.07, 4 In 3.13-3.41, 2 Tl 3.42
In 0.0000 0.0000 0.0000  2 Cd 3.10, 8 In 3.23-3.41
In 0.5000 0.3117 0.5276  2 Cd 3.07, 4 In 3.13-3.41, 2 Tl 3.42
Cd 0.0000 0.2539 0.7500  8 In 3.07-3.33, 1 Tl 3.16
Cd 0.0000 0.7461 0.2500  8 In 3.07-3.33, 1 Tl 3.16
Tl 0.0000 0.3604 0.2500  1 Cd 3.16, 6 In 3.41-3.42
Tl 0.0000 0.6396 0.7500  1 Cd 3.16, 6 In 3.41-3.42

DOS at the Fermi energy ... 4.98 states/eV per cell
SG ... Pmma
Total energy ... -2.331 eV/atom

***

[6]
Tl3Cd4In7: optimized geometry, PBE.

Unit cell a=4.7012 b=9.4732 c=9.6221 alpha=73.19 beta=75.86 gamma=75.63
Closest atoms and distances in Å follow each position.
Sites, in units of the cell vectors:
In 0.8372 0.3741 0.9515  3 Cd 3.08-3.13, 3 In 3.32-3.35
In 0.4963 0.1827 0.8248  3 Cd 2.99-3.19, 5 In 3.11-3.32
In 0.1628 0.6259 0.0485  3 Cd 3.08-3.13, 3 In 3.32-3.35
In 0.6549 0.2073 0.4829  4 Cd 2.92-3.03, 1 In 3.14
In 0.5037 0.8173 0.1752  3 Cd 2.99-3.19, 5 In 3.11-3.32
In 0.3451 0.7927 0.5171  4 Cd 2.92-3.03, 1 In 3.14
In 0.0000 0.0000 0.0000  6 In 3.11-3.35, 2 Cd 3.12
Cd 0.8577 0.9413 0.3434  6 In 2.99-3.19
Cd 0.6368 0.4812 0.2453  5 In 2.92-3.13
Cd 0.1423 0.0587 0.6566  6 In 2.99-3.19
Cd 0.3632 0.5188 0.7547  5 In 2.92-3.13
Tl 0.7091 0.7928 0.7891  4 Cd 3.40-3.51, 7 In 3.45-3.77
Tl 0.0000 0.5000 0.5000  4 Cd 3.38, 4 In 3.60
Tl 0.2909 0.2072 0.2109  4 Cd 3.40-3.51, 7 In 3.45-3.77

DOS at the Fermi energy ... 4.89 states/eV per cell
SG ... C2/m
Total energy ... -2.102 eV/atom

***

[7]
Tl8CdIn3: optimized geometry, PBE.

Unit cell a=8.4344 b=8.4351 c=6.3776 alpha=90.00 beta=90.00 gamma=120.00
Closest atoms and distances in Å follow each position.
Sites, in units of the cell vectors:
Tl 0.3250 0.3250 0.7651  3 In 3.12-3.22, 1 Cd 3.22, 2 Tl 3.31
Tl 0.6667 0.3333 0.5000  2 In 3.19, 6 Tl 3.31
Tl 0.0000 0.3250 0.2349  3 In 3.12-3.22, 1 Cd 3.22, 2 Tl 3.31
Tl 0.6750 0.6750 0.2349  3 In 3.12-3.22, 1 Cd 3.22, 2 Tl 3.31
Tl 0.3333 0.6667 0.5000  2 In 3.19, 6 Tl 3.31
Tl 0.3250 0.0000 0.2348  3 In 3.12-3.22, 1 Cd 3.22, 2 Tl 3.31
Tl 0.0000 0.6750 0.7651  3 In 3.12-3.22, 1 Cd 3.22, 2 Tl 3.31
Tl 0.6750 0.0000 0.7652  3 In 3.12-3.22, 1 Cd 3.22, 2 Tl 3.31
Cd 0.0000 0.0000 0.5000  2 In 3.19, 6 Tl 3.22
In 0.0000 0.0000 0.0000  6 Tl 3.12, 2 Cd 3.19
In 0.3333 0.6667 0.0000  8 Tl 3.19-3.22
In 0.6667 0.3333 0.0000  8 Tl 3.19-3.22

DOS at the Fermi energy ... 6.80 states/eV per cell
SG ... P-31m
Total energy ... -2.218 eV/atom

***

[8]
Tl6CdIn3: optimized geometry, PBE.

Unit cell a=3.3653 b=11.4691 c=16.0481 alpha=109.04 beta=90.00 gamma=90.00
Closest atoms and distances in Å follow each position.
Sites, in units of the cell vectors:
In 0.2500 0.8838 0.9295  4 In 3.34-3.37, 6 Tl 3.35-3.58
In 0.2500 0.6290 0.1789  1 Cd 3.12, 8 Tl 3.28-3.45, 2 In 3.37
In 0.7500 0.6186 0.5679  5 Tl 3.27-3.57, 4 In 3.33-3.37
In 0.7500 0.3710 0.8211  1 Cd 3.12, 8 Tl 3.28-3.45, 2 In 3.37
In 0.7500 0.1162 0.0705  4 In 3.34-3.37, 6 Tl 3.35-3.58
In 0.2500 0.3814 0.4321  5 Tl 3.27-3.57, 4 In 3.33-3.37
Tl 0.7500 0.3873 0.0341  4 In 3.35-3.42, 8 Tl 3.37-3.56
Tl 0.2500 0.8753 0.5354  3 Cd 3.21-3.37, 4 Tl 3.37-3.56, 2 In 3.57
Tl 0.7500 0.6294 0.3666  3 In 3.27-3.45, 6 Tl 3.37-3.62, 2 Cd 3.47
Tl 0.7500 0.6317 0.7781  7 Tl 3.26-3.56, 4 In 3.28-3.54
Tl 0.2500 0.3683 0.2219  7 Tl 3.26-3.56, 4 In 3.28-3.54
Tl 0.2500 0.6127 0.9659  4 In 3.35-3.42, 8 Tl 3.37-3.56
Tl 0.7500 0.8535 0.1309  6 Tl 3.37-3.56, 5 In 3.37-3.76, 2 Cd 3.63
Tl 0.2500 0.3706 0.6334  3 In 3.27-3.45, 6 Tl 3.37-3.62, 2 Cd 3.47
Tl 0.7500 0.1247 0.4646  3 Cd 3.21-3.37, 4 Tl 3.37-3.56, 2 In 3.57
Tl 0.7500 0.8905 0.7345  1 Cd 3.22, 7 Tl 3.26-3.56, 3 In 3.38-3.58
Tl 0.2500 0.1095 0.2655  1 Cd 3.22, 7 Tl 3.26-3.56, 3 In 3.38-3.58
Tl 0.2500 0.1465 0.8691  6 Tl 3.37-3.56, 5 In 3.37-3.76, 2 Cd 3.63
Cd 0.7500 0.1234 0.6642  1 In 3.12, 6 Tl 3.21-3.47, 2 Cd 3.37
Cd 0.2500 0.8766 0.3358  1 In 3.12, 6 Tl 3.21-3.47, 2 Cd 3.37

DOS at the Fermi energy ... 9.24 states/eV per cell
SG ... P2_1/m
Total energy ... -2.297 eV/atom